(1)
Entry from Alexandria via LeMat-Bulk: TlTcCl2 after structural relaxation (GGA-PBEsol).

Values from the calculation:
Offset from the most stable computed form (eV/atom): 0.565
E_tot (eV/cell): -16.279

Unit cell a=3.3189 b=4.4691 c=5.6358 alpha=90.00 beta=90.00 gamma=90.00
Space group Pmmm (No. 47)
Symmetry-distinct sites (fractional):
Tl1 0.0000 0.0000 0.0000 [1 per cell]
Tc1 0.5000 0.0000 0.5000 [1 per cell]
Cl1 0.0000 0.5000 0.5000 [1 per cell]
Cl2 0.5000 0.5000 0.0000 [1 per cell]

=====

(2)
Entry from Alexandria via LeMat-Bulk: BaAg3Bi after structural relaxation (GGA-PBEsol).

Values from the calculation:
ΔE_f (meV per atom): 1143
E_tot (eV/cell): -10.654

Unit cell a=5.6002 b=5.6002 c=5.6002 alpha=90.00 beta=90.00 gamma=90.00
Space group Pm-3m (No. 221)
Symmetry-distinct sites (fractional):
Ba1 0.0000 0.0000 0.0000 [1 per cell]
Ag1 0.0000 0.0000 0.5000 [3 per cell]
Bi1 0.5000 0.5000 0.5000 [1 per cell]

=====

(3)
Entry from Alexandria via LeMat-Bulk: NaSr3CeP3O13 after structural relaxation (GGA-PBEsol).

Values from the calculation:
E_tot (eV/cell): -315.713

Unit cell a=9.5929 b=9.5929 c=7.0747 alpha=90.00 beta=90.00 gamma=120.00
Space group P-3 (No. 147)
Symmetry-distinct sites (fractional):
Na1 0.3333 0.6667 0.0277 [2 per cell]
Sr1 0.0191 0.2474 0.2481 [6 per cell]
Ce1 0.3333 0.6667 0.5258 [2 per cell]
P1 0.0312 0.4071 0.7454 [6 per cell]
O1 0.0000 0.0000 0.3322 [2 per cell]
O2 0.0462 0.3029 0.8996 [6 per cell]
O3 0.1097 0.3874 0.5608 [6 per cell]
O4 0.1300 0.5906 0.7854 [6 per cell]
O5 0.1494 0.6490 0.2839 [6 per cell]